# 1
The following is a meta-GGA SCAN calculation of a PBEsol-optimized structure of ZrCo4Os, from the Alexandria database.

## Properties
For the total energy, the calculation gives -28.739 eV/atom. As for the density of states at the Fermi level: 6.13 states/eV/cell. Its volume is 12.412 A^3/atom. Its space group is F-43m (216).

Cell: 4.722 4.722 4.722 Å, 60.00 60.00 60.00°
Fractional coordinates of all 6 atoms:
Os  0.750  0.750  0.750
Co  0.375  0.874  0.375
Co  0.375  0.375  0.874
Co  0.874  0.375  0.375
Zr  0.000  0.000  0.000
Co  0.375  0.375  0.375

---

# 2
The following is a meta-GGA SCAN calculation of a PBEsol-optimized structure of KBRu3, from the Alexandria database.

## Properties
For the total energy, the calculation gives -23.161 eV/atom. As for the density of states at the Fermi level: 4.56 states/eV/cell. Its volume is 14.799 A^3/atom. Its space group is Pm-3m (221).

Cell: 4.198 4.198 4.198 Å, 90.00 90.00 90.00°
Fractional coordinates of all 5 atoms:
K  0.500  0.500  0.500
B  0.000  0.000  0.000
Ru  0.500  0.000  0.000
Ru  0.000  0.500  0.000
Ru  0.000  0.000  0.500

---

# 3
The following is a meta-GGA SCAN calculation of a PBEsol-optimized structure of LiCa2Ru, from the Alexandria database.

## Properties
For the total energy, the calculation gives -13.761 eV/atom. As for the density of states at the Fermi level: 2.91 states/eV/cell. Its volume is 24.479 A^3/atom. Its space group is C2/m (12).

Cell: 3.201 4.453 7.409 Å, 96.02 90.00 111.06°
Fractional coordinates of all 4 atoms:
Ca  0.769  0.537  0.798
Li  0.000  0.000  0.500
Ru  0.500  0.000  0.000
Ca  0.231  0.463  0.202

---

# 4
The following is a meta-GGA SCAN calculation of a PBEsol-optimized structure of Ba2HfH, from the Alexandria database.

## Properties
For the total energy, the calculation gives -35.692 eV/atom. As for the density of states at the Fermi level: 8.17 states/eV/cell. Its volume is 29.563 A^3/atom. Its space group is I-42d (122).

Cell: 6.748 6.748 6.748 Å, 109.67 109.37 109.37°
Fractional coordinates of all 8 atoms:
Ba  0.110  0.875  0.485
Ba  0.610  0.235  0.125
H  0.000  0.500  0.500
Ba  0.890  0.375  0.765
Hf  0.000  0.000  0.000
Ba  0.390  0.515  0.625
H  0.500  0.250  0.750
Hf  0.500  0.750  0.250